First-principles (PBE+U) data for a geometry-optimized Rb2HgMoF6 structure, as listed in Alexandria.

Calculated values
Its energy relative to the lowest polymorph listed for this composition is 45 meV per atom. The value obtained for the total energy is -4.429 eV/atom. The symmetry is I4/mmm, No. 139. The density of states at the Fermi level comes out at 0.000 states/eV/atom.

a b c (Å): 6.9261 6.9261 6.9957
angles (deg): 60.33 60.33 90.00
Positions (direct):
Mo 0.5000 0.5000 0.0000
Hg 0.0000 0.0000 0.0000
Rb 0.7500 0.2500 0.5000
Rb 0.2500 0.7500 0.5000
F 0.2956 0.2956 0.4088
F 0.7044 0.7044 0.5912
F 0.2979 0.2979 0.0000
F 0.7021 0.7021 0.0000
F 0.7021 0.2979 0.0000
F 0.2979 0.7021 0.0000